The following is a PBE calculation of crystalline Tl2VCl at its relaxed geometry, from Alexandria via LeMat-Bulk.

Cell: 4.3264 4.3264 22.7872 Å, 90.00 90.00 90.00°
Closest atoms and distances in Å follow each position.
Space group I-42d (No. 122)
Asymmetric unit:
Tl (0.2499, 0.2500, 0.1250) (multiplicity 8)  4 Tl 3.06, 2 V 3.23, 2 Cl 3.23
V (0.0000, 0.0000, 0.0000) (multiplicity 4)  4 Cl 3.06, 4 Tl 3.23
Cl (0.0000, 0.0000, 0.5000) (multiplicity 4)  4 V 3.06, 4 Tl 3.23

Properties
Crystal system: tetragonal
M_tot: 3.69 μB per formula unit
Energy relative to the lowest polymorph listed for this composition: 0 meV/atom